# FeBiIO2, optimized geometry, DFT PBE with a Hubbard U
data_FeBiIO2
_symmetry_space_group_name_H-M 'P 1 21/m 1'
_symmetry_Int_Tables_number 11
_cell_length_a 7.0005
_cell_length_b 4.3020
_cell_length_c 7.4182
_cell_angle_alpha 90.00
_cell_angle_beta 91.92
_cell_angle_gamma 90.00
loop_
_symmetry_equiv_pos_as_xyz
'x,y,z'
'-x,-y,-z'
'-x,y+1/2,-z'
'x,-y+1/2,z'
loop_
_atom_site_label
_atom_site_type_symbol
_atom_site_fract_x
_atom_site_fract_y
_atom_site_fract_z
Fe1 Fe 0.0677 0.2500 0.1326
Bi1 Bi 0.1818 0.2500 0.6193
I1 I 0.4560 0.2500 0.2337
O1 O 0.0155 0.2500 0.8642
O2 O 0.0462 0.7500 0.6117
# V	22.3	Å³/atom
# distance to the lowest polymorph of the same formula	0.000	eV per atom